1.
Below is crystalline Mn3ZnCo at its relaxed geometry, with properties calculated at the PBE level.

Properties
Its crystal system is cubic. The calculation puts the energy relative to the lowest polymorph listed for this composition at 5.79 eV per formula unit. The mass density is 6.4 g/cm³.

The structure in CIF format:
```
data_Mn3ZnCo
_cell_length_a 4.211
_cell_length_b 4.211
_cell_length_c 4.211
_cell_angle_alpha 90.00
_cell_angle_beta 90.00
_cell_angle_gamma 90.00
_space_group_name_H-M_alt 'P m -3 m'
_space_group_IT_number 221
_space_group_name_Hall '-P 4 2 3'
loop_
_atom_site_label
_atom_site_type_symbol
_atom_site_fract_x
_atom_site_fract_y
_atom_site_fract_z
_atom_site_occupancy
Mn1 Mn 0.000 0.000 0.500 1
Zn1 Zn 0.000 0.000 0.000 1
Co1 Co 0.500 0.500 0.500 1
```

---

2.
Below is crystalline MnZn2Co5 at its relaxed geometry, with properties calculated at the PBE level.

Properties
As for the total energy: -47.03 eV per formula unit. Its crystal system is tetragonal. The mass density is 8.5 g/cm³.

The structure in CIF format:
```
data_MnZn2Co5
_cell_length_a 4.062
_cell_length_b 4.062
_cell_length_c 11.375
_cell_angle_alpha 90.00
_cell_angle_beta 90.00
_cell_angle_gamma 90.00
_space_group_name_H-M_alt 'I 4/m m m'
_space_group_IT_number 139
_space_group_name_Hall '-I 4 2'
loop_
_atom_site_label
_atom_site_type_symbol
_atom_site_fract_x
_atom_site_fract_y
_atom_site_fract_z
_atom_site_occupancy
Mn1 Mn 0.000 0.000 0.000 1
Zn1 Zn 0.000 0.000 0.250 1
Co1 Co 0.000 0.000 0.500 1
Co2 Co 0.000 0.500 0.119 1
```

---

3.
Below is crystalline Mn4ZnCo at its relaxed geometry, with properties calculated at the PBE level.

Properties
As for the total energy: -43.32 eV per formula unit. Its crystal system is cubic. The mass density is 8.0 g/cm³.

The structure in CIF format:
```
data_Mn4ZnCo
_cell_length_a 6.592
_cell_length_b 6.592
_cell_length_c 6.592
_cell_angle_alpha 90.00
_cell_angle_beta 90.00
_cell_angle_gamma 90.00
_space_group_name_H-M_alt 'F -4 3 m'
_space_group_IT_number 216
_space_group_name_Hall 'F -4 2 3'
loop_
_atom_site_label
_atom_site_type_symbol
_atom_site_fract_x
_atom_site_fract_y
_atom_site_fract_z
_atom_site_occupancy
Mn1 Mn 0.125 0.125 0.125 1
Zn1 Zn 0.000 0.000 0.500 1
Co1 Co 0.250 0.250 0.750 1
```

---

4.
Below is crystalline MnZn4Co2 at its relaxed geometry, with properties calculated at the PBE level.

Properties
As for the total energy: -27.79 eV per formula unit. Its crystal system is orthorhombic. The mass density is 7.3 g/cm³.

The structure in CIF format:
```
data_MnZn4Co2
_cell_length_a 6.838
_cell_length_b 7.568
_cell_length_c 7.609
_cell_angle_alpha 90.00
_cell_angle_beta 90.00
_cell_angle_gamma 90.00
_space_group_name_H-M_alt 'F m m m'
_space_group_IT_number 69
_space_group_name_Hall '-F 2 2'
loop_
_atom_site_label
_atom_site_type_symbol
_atom_site_fract_x
_atom_site_fract_y
_atom_site_fract_z
_atom_site_occupancy
Mn1 Mn 0.000 0.000 0.000 1
Zn1 Zn 0.250 0.000 0.250 1
Zn2 Zn 0.250 0.250 0.000 1
Co1 Co 0.000 0.250 0.250 1
```

---

5.
Below is crystalline Mn2Zn3Co4 at its relaxed geometry, with properties calculated at the PBE level.

Properties
As for the total energy: -50.53 eV per formula unit. Its crystal system is trigonal. The mass density is 8.3 g/cm³.

The structure in CIF format:
```
data_Mn2Zn3Co4
_cell_length_a 4.0824
_cell_length_b 4.0824
_cell_length_c 7.4660
_cell_angle_alpha 90.00
_cell_angle_beta 90.00
_cell_angle_gamma 120.00
_space_group_name_H-M_alt 'P -3 m 1'
_space_group_IT_number 164
_space_group_name_Hall '-P 3 2"'
loop_
_atom_site_label
_atom_site_type_symbol
_atom_site_fract_x
_atom_site_fract_y
_atom_site_fract_z
_atom_site_occupancy
Mn1 Mn 0.3333 0.6667 0.2868 1
Zn1 Zn 0.0000 0.0000 0.5000 1
Zn2 Zn 0.3333 0.6667 0.9391 1
Co1 Co 0.0000 0.0000 0.1627 1
Co2 Co 0.3333 0.6667 0.6123 1
```

---

6.
Below is crystalline MnZnCo at its relaxed geometry, with properties calculated at the PBE level.

Properties
Its crystal system is monoclinic. The calculation puts the energy relative to the lowest polymorph listed for this composition at 0.33 eV per formula unit. The mass density is 8.5 g/cm³.

The structure in CIF format:
```
data_MnZnCo
_cell_length_a 4.402
_cell_length_b 2.552
_cell_length_c 6.245
_cell_angle_alpha 90.00
_cell_angle_beta 90.33
_cell_angle_gamma 90.00
_space_group_name_H-M_alt 'C 1 m 1'
_space_group_IT_number 8
loop_
_space_group_symop_operation_xyz
'x,y,z'
'x,-y,z'
'x+1/2,y+1/2,z'
'x+1/2,-y+1/2,z'
loop_
_atom_site_label
_atom_site_type_symbol
_atom_site_fract_x
_atom_site_fract_y
_atom_site_fract_z
_atom_site_occupancy
Mn1 Mn 0.000 0.000 0.000 1
Zn1 Zn 0.166 0.500 0.354 1
Co1 Co 0.332 0.000 0.700 1
```